Here is crystalline RbCu2Sn at its relaxed geometry from Alexandria via LeMat-Bulk. Energies are from GGA-PBE.

a = 5.3138 Å, b = 5.3138 Å, c = 9.4688 Å
α = 73.70°, β = 73.70°, γ = 90.00°
Positions (direct):
Cu (0.8751, 0.1250, 0.2500)
Cu (0.8749, 0.6250, 0.2500)
Cu (0.3750, 0.1249, 0.7500)
Cu (0.8750, 0.1251, 0.7500)
Sn (0.0000, 0.0000, 0.0000)
Sn (0.7500, 0.2500, 0.5000)
Rb (0.5000, 0.5000, 0.0000)
Rb (0.2500, 0.7500, 0.5000)

## Properties
* formation energy: 0.22 eV per atom
* symmetry: I4_1/amd, No. 141
* N(E_F): 0.975 states/eV/atom